# PBE Ta3NiHg, optimized geometry
data_Ta3NiHg
_chemical_formula_sum 'Ta3 Ni1 Hg1'
_cell_length_a 4.6264
_cell_length_b 4.6264
_cell_length_c 4.6264
_cell_angle_alpha 90.00
_cell_angle_beta 90.00
_cell_angle_gamma 90.00
_space_group_name_H-M_alt 'P 1'
_space_group_IT_number 1
_space_group_name_Hall 'P 1'
loop_
_atom_site_label
_atom_site_fract_x
_atom_site_fract_y
_atom_site_fract_z
_atom_site_occupancy
Ta1 0.5000 0.0000 0.0000 1
Ni1 0.0000 0.0000 0.0000 1
Ta2 0.0000 0.0000 0.5000 1
Ta3 0.0000 0.5000 0.0000 1
Hg1 0.5000 0.5000 0.5000 1
# space-group type	No. 221
# E_form	833	meV/atom